P | Below is a geometry-optimized Y2AgPd5 structure, with properties calculated at the PBE level.

Geometry as CIF:
```
data_Y2AgPd5
_chemical_formula_sum 'Y4 Ag2 Pd10'
_cell_length_a 5.0198
_cell_length_b 5.0198
_cell_length_c 11.8369
_cell_angle_alpha 90.00
_cell_angle_beta 90.00
_cell_angle_gamma 90.00
_symmetry_space_group_name_H-M 'I 4/m m m'
_symmetry_Int_Tables_number 139
_symmetry_space_group_name_Hall '-I 4 2'
loop_
_atom_site_label
_atom_site_type_symbol
_atom_site_fract_x
_atom_site_fract_y
_atom_site_fract_z
Y1 Y 0.0000 0.0000 0.2441
Ag1 Ag 0.0000 0.0000 0.5000
Pd1 Pd 0.0000 0.0000 0.0000
Pd2 Pd 0.0000 0.5000 0.1200
```

Calculated values
**Total moment**: 0.0 Bohr magnetons per cell



Q | Below is a geometry-optimized Y2AgPd5 structure, with properties calculated at the PBE level.

Geometry as CIF:
```
data_Y2AgPd5
_chemical_formula_sum 'Y4 Ag2 Pd10'
_cell_length_a 5.9681
_cell_length_b 5.9681
_cell_length_c 8.0679
_cell_angle_alpha 90.00
_cell_angle_beta 90.00
_cell_angle_gamma 90.00
_symmetry_space_group_name_H-M 'I 4/m m m'
_symmetry_Int_Tables_number 139
_symmetry_space_group_name_Hall '-I 4 2'
loop_
_atom_site_label
_atom_site_type_symbol
_atom_site_fract_x
_atom_site_fract_y
_atom_site_fract_z
Y1 Y 0.0000 0.5000 0.0000
Ag1 Ag 0.0000 0.0000 0.0000
Pd1 Pd 0.0000 0.0000 0.5000
Pd2 Pd 0.2500 0.2500 0.2500
```

Calculated values
**Total moment**: 0.0 Bohr magnetons per cell



Computed energies relative to the best structure, in eV/atom: P 0.198; Q 0.000



P | Below is a geometry-optimized Y2AgPd2 structure, with properties calculated at the PBE level.

Geometry as CIF:
```
data_Y2AgPd2
_chemical_formula_sum 'Y4 Ag2 Pd4'
_cell_length_a 3.8565
_cell_length_b 3.8565
_cell_length_c 15.5365
_cell_angle_alpha 90.00
_cell_angle_beta 90.00
_cell_angle_gamma 90.00
_symmetry_space_group_name_H-M 'I 4/m m m'
_symmetry_Int_Tables_number 139
_symmetry_space_group_name_Hall '-I 4 2'
loop_
_atom_site_label
_atom_site_type_symbol
_atom_site_fract_x
_atom_site_fract_y
_atom_site_fract_z
Y1 Y 0.0000 0.0000 0.1129
Ag1 Ag 0.0000 0.0000 0.5000
Pd1 Pd 0.0000 0.5000 0.2500
```

Calculated values
**Total moment**: 0.0 Bohr magnetons per cell



Q | Below is a geometry-optimized Y2AgPd2 structure, with properties calculated at the PBE level.

Geometry as CIF:
```
data_Y2AgPd2
_chemical_formula_sum 'Y4 Ag2 Pd4'
_cell_length_a 8.0877
_cell_length_b 8.0877
_cell_length_c 3.4807
_cell_angle_alpha 90.00
_cell_angle_beta 90.00
_cell_angle_gamma 90.00
_symmetry_space_group_name_H-M 'P 4/m b m'
_symmetry_Int_Tables_number 127
_symmetry_space_group_name_Hall '-P 4 2ab'
loop_
_atom_site_label
_atom_site_type_symbol
_atom_site_fract_x
_atom_site_fract_y
_atom_site_fract_z
Y1 Y 0.1608 0.3392 0.0000
Ag1 Ag 0.0000 0.0000 0.0000
Pd1 Pd 0.1319 0.6319 0.5000
```

Calculated values
**Total moment**: 0.0 Bohr magnetons per cell



R | Below is a geometry-optimized Y2AgPd2 structure, with properties calculated at the PBE level.

Geometry as CIF:
```
data_Y2AgPd2
_chemical_formula_sum 'Y4 Ag2 Pd4'
_cell_length_a 7.6003
_cell_length_b 7.6003
_cell_length_c 3.7941
_cell_angle_alpha 90.00
_cell_angle_beta 90.00
_cell_angle_gamma 90.00
_symmetry_space_group_name_H-M 'P 4/m b m'
_symmetry_Int_Tables_number 127
_symmetry_space_group_name_Hall '-P 4 2ab'
loop_
_atom_site_label
_atom_site_type_symbol
_atom_site_fract_x
_atom_site_fract_y
_atom_site_fract_z
Y1 Y 0.1718 0.3282 0.0000
Ag1 Ag 0.0000 0.0000 0.5000
Pd1 Pd 0.1300 0.6300 0.5000
```

Calculated values
**Total moment**: 0.0 Bohr magnetons per cell



S | Below is a geometry-optimized Y2AgPd2 structure, with properties calculated at the PBE level.

Geometry as CIF:
```
data_Y2AgPd2
_chemical_formula_sum 'Y4 Ag2 Pd4'
_cell_length_a 5.3905
_cell_length_b 5.3905
_cell_length_c 8.1511
_cell_angle_alpha 90.00
_cell_angle_beta 90.00
_cell_angle_gamma 90.00
_symmetry_space_group_name_H-M 'I 4/m m m'
_symmetry_Int_Tables_number 139
_symmetry_space_group_name_Hall '-I 4 2'
loop_
_atom_site_label
_atom_site_type_symbol
_atom_site_fract_x
_atom_site_fract_y
_atom_site_fract_z
Y1 Y 0.0000 0.5000 0.2500
Ag1 Ag 0.0000 0.0000 0.0000
Pd1 Pd 0.0000 0.0000 0.3422
```

Calculated values
**Total moment**: 0.0 Bohr magnetons per cell



Computed energies relative to the best structure, in eV/atom: P 0.252; Q 0.247; R 0.000; S 0.214



P | Below is a geometry-optimized Y3AgPd structure, with properties calculated at the PBE level.

Geometry as CIF:
```
data_Y3AgPd
_chemical_formula_sum 'Y3 Ag1 Pd1'
_cell_length_a 5.4032
_cell_length_b 5.4032
_cell_length_c 5.4032
_cell_angle_alpha 90.00
_cell_angle_beta 90.00
_cell_angle_gamma 90.00
_symmetry_space_group_name_H-M 'P m -3 m'
_symmetry_Int_Tables_number 221
_symmetry_space_group_name_Hall '-P 4 2 3'
loop_
_atom_site_label
_atom_site_type_symbol
_atom_site_fract_x
_atom_site_fract_y
_atom_site_fract_z
Y1 Y 0.0000 0.0000 0.5000
Ag1 Ag 0.5000 0.5000 0.5000
Pd1 Pd 0.0000 0.0000 0.0000
```

Calculated values
**Total moment**: 0.0 Bohr magnetons per cell



Q | Below is a geometry-optimized Y3AgPd structure, with properties calculated at the PBE level.

Geometry as CIF:
```
data_Y3AgPd
_chemical_formula_sum 'Y6 Ag2 Pd2'
_cell_length_a 5.4568
_cell_length_b 6.1702
_cell_length_c 8.5463
_cell_angle_alpha 97.48
_cell_angle_beta 99.70
_cell_angle_gamma 113.04
_symmetry_space_group_name_H-M 'P -1'
_symmetry_Int_Tables_number 2
loop_
_symmetry_equiv_pos_as_xyz
'x,y,z'
'-x,-y,-z'
loop_
_atom_site_label
_atom_site_type_symbol
_atom_site_fract_x
_atom_site_fract_y
_atom_site_fract_z
Y1 Y 0.0487 0.1599 0.3196
Y2 Y 0.2940 0.4696 0.7231
Y3 Y 0.2997 0.7957 0.1032
Ag1 Ag 0.3412 0.7516 0.4556
Pd1 Pd 0.2372 0.2368 0.0063
```

Calculated values
**Total moment**: 0.0 Bohr magnetons per cell



Computed energies relative to the best structure, in eV/atom: P 0.351; Q 0.000



P | Below is a geometry-optimized Y4AgPd structure, with properties calculated at the PBE level.

Geometry as CIF:
```
data_Y4AgPd
_chemical_formula_sum 'Y8 Ag2 Pd2'
_cell_length_a 7.0170
_cell_length_b 7.0169
_cell_length_c 7.0601
_cell_angle_alpha 90.00
_cell_angle_beta 90.08
_cell_angle_gamma 90.00
_symmetry_space_group_name_H-M 'C 1 2/m 1'
_symmetry_Int_Tables_number 12
loop_
_symmetry_equiv_pos_as_xyz
'x,y,z'
'-x,-y,-z'
'-x,y,-z'
'x,-y,z'
'x+1/2,y+1/2,z'
'-x+1/2,-y+1/2,-z'
'-x+1/2,y+1/2,-z'
'x+1/2,-y+1/2,z'
loop_
_atom_site_label
_atom_site_type_symbol
_atom_site_fract_x
_atom_site_fract_y
_atom_site_fract_z
Y1 Y 0.2497 0.2499 0.2413
Ag1 Ag 0.0000 0.0000 0.5000
Pd1 Pd 0.0000 0.5000 0.0000
```

Calculated values
**Total moment**: 0.0 Bohr magnetons per cell



Q | Below is a geometry-optimized Y4AgPd structure, with properties calculated at the PBE level.

Geometry as CIF:
```
data_Y4AgPd
_chemical_formula_sum 'Y64 Ag16 Pd16'
_cell_length_a 13.6108
_cell_length_b 13.6108
_cell_length_c 13.6108
_cell_angle_alpha 90.00
_cell_angle_beta 90.00
_cell_angle_gamma 90.00
_symmetry_space_group_name_H-M 'F -4 3 m'
_symmetry_Int_Tables_number 216
_symmetry_space_group_name_Hall 'F -4 2 3'
loop_
_atom_site_label
_atom_site_type_symbol
_atom_site_fract_x
_atom_site_fract_y
_atom_site_fract_z
Y1 Y 0.0000 0.0000 0.1842
Y2 Y 0.0618 0.2500 0.7500
Y3 Y 0.1086 0.1086 0.3914
Ag1 Ag 0.1663 0.1663 0.1663
Pd1 Pd 0.1036 0.1036 0.6036
```

Calculated values
**Total moment**: 0.0 Bohr magnetons per cell



Computed energies relative to the best structure, in eV/atom: P 0.225; Q 0.000